Entry 1:
An optimized crystal structure of Ca4Pu3NiN8. Source: Alexandria, functional PBE.

Calculated values
total energy	-8.62	eV per atom
total magnetization	0.713	μB per atom
formation energy (no corrections)	-88	kJ/mol of atoms
crystal system	monoclinic
N(E_F)	38.92	states/eV/cell

a = 11.7902 Å, b = 6.7947 Å, c = 6.8653 Å
α = 90.00°, β = 124.82°, γ = 90.00°
Space group C2/m (No. 12)
One atom of each set of equivalent atoms:
Ca 0.0000 0.0000 0.0000 (multiplicity 2)
Ca 0.0000 0.5000 0.0000 (multiplicity 2)
Ca 0.2500 0.2500 0.0000 (multiplicity 4)
Pu 0.0000 0.0000 0.5000 (multiplicity 2)
Pu 0.2500 0.2500 0.5000 (multiplicity 4)
Ni 0.0000 0.5000 0.5000 (multiplicity 2)
N 0.0152 0.2394 0.2851 (multiplicity 8)
N 0.2408 0.0000 0.7223 (multiplicity 4)
N 0.2466 0.5000 0.7160 (multiplicity 4)

***

Entry 2:
An optimized crystal structure of InCu2Cl. Source: Alexandria, functional PBE.

Calculated values
total energy	-3.09	eV per atom
total magnetization	0.000	μB per atom
formation energy (no corrections)	10	kJ/mol of atoms
crystal system	tetragonal
N(E_F)	0.07	states/eV/cell

a = 6.4582 Å, b = 6.4582 Å, c = 7.9623 Å
α = 90.00°, β = 90.00°, γ = 90.00°
Space group I-42d (No. 122)
One atom of each set of equivalent atoms:
In 0.0000 0.0000 0.0000 (multiplicity 4)
Cu 0.2216 0.2500 0.6250 (multiplicity 8)
Cl 0.0000 0.0000 0.5000 (multiplicity 4)

***

Entry 3:
An optimized crystal structure of ErScO2. Source: Alexandria, functional PBE.

Calculated values
total energy	-7.93	eV per atom
total magnetization	0.000	μB per atom
formation energy (no corrections)	-264	kJ/mol of atoms
crystal system	trigonal
N(E_F)	0.59	states/eV/cell

a = 3.2211 Å, b = 3.2211 Å, c = 16.9011 Å
α = 90.00°, β = 90.00°, γ = 120.00°
Space group R3m (No. 160, hexagonal axes)
One atom of each set of equivalent atoms:
Er 0.0000 0.0000 0.0000 (multiplicity 3)
Sc 0.0000 0.0000 0.8222 (multiplicity 3)
O 0.0000 0.0000 0.4123 (multiplicity 3)
O 0.0000 0.0000 0.5770 (multiplicity 3)

***

Entry 4:
An optimized crystal structure of In2TcIr. Source: Alexandria, functional PBE.

Calculated values
total energy	-5.91	eV per atom
formation energy	0.261	eV/atom
total magnetization	0.017	μB per atom
crystal system	monoclinic
N(E_F)	2.82	states/eV/cell

a = 4.8053 Å, b = 2.9657 Å, c = 5.3763 Å
α = 90.00°, β = 113.08°, γ = 90.00°
Space group P2/m (No. 10)
One atom of each set of equivalent atoms:
In 0.0000 0.0000 0.0000 (multiplicity 1)
In 0.0000 0.5000 0.5000 (multiplicity 1)
Tc 0.5000 0.0000 0.5000 (multiplicity 1)
Ir 0.5000 0.5000 0.0000 (multiplicity 1)

***

Entry 5:
An optimized crystal structure of TmTcW. Source: Alexandria, functional PBE.

Calculated values
total energy	-9.24	eV per atom
formation energy	0.028	eV/atom
total magnetization	0.000	μB per atom
crystal system	tetragonal
N(E_F)	3.99	states/eV/cell

a = 3.2139 Å, b = 3.2139 Å, c = 10.7102 Å
α = 90.00°, β = 90.00°, γ = 90.00°
Space group I4mm (No. 107)
One atom of each set of equivalent atoms:
Tm 0.0000 0.0000 0.0000 (multiplicity 2)
Tc 0.0000 0.0000 0.6826 (multiplicity 2)
W 0.0000 0.0000 0.3097 (multiplicity 2)

***

Entry 6:
An optimized crystal structure of Al2SbIr. Source: Alexandria, functional PBE.

Calculated values
total energy	-5.00	eV per atom
total magnetization	0.000	μB per atom
formation energy (no corrections)	11	kJ/mol of atoms
crystal system	monoclinic
N(E_F)	4.86	states/eV/cell

a = 5.5525 Å, b = 9.7509 Å, c = 3.1786 Å
α = 90.00°, β = 123.29°, γ = 90.00°
Space group C2/m (No. 12)
One atom of each set of equivalent atoms:
Al 0.2500 0.2500 0.0000 (multiplicity 4)
Sb 0.0000 0.0000 0.0000 (multiplicity 2)
Ir 0.0000 0.5000 0.0000 (multiplicity 2)

***

Entry 7:
An optimized crystal structure of Be2MoSe. Source: Alexandria, functional PBE.

Calculated values
total energy	-4.98	eV per atom
total magnetization	0.000	μB per atom
formation energy (no corrections)	44	kJ/mol of atoms
crystal system	monoclinic
N(E_F)	3.69	states/eV/cell

a = 5.1300 Å, b = 8.4999 Å, c = 2.9237 Å
α = 90.00°, β = 122.44°, γ = 90.00°
Space group C2/m (No. 12)
One atom of each set of equivalent atoms:
Be 0.2500 0.2500 0.0000 (multiplicity 4)
Mo 0.0000 0.0000 0.0000 (multiplicity 2)
Se 0.0000 0.5000 0.0000 (multiplicity 2)

***

Entry 8:
An optimized crystal structure of Pm2Dy4ErSc. Source: Alexandria, functional PBE.

Calculated values
total energy	-4.82	eV per atom
formation energy	0.032	eV/atom
total magnetization	0.000	μB per atom
crystal system	tetragonal
N(E_F)	11.57	states/eV/cell

a = 5.0032 Å, b = 5.0032 Å, c = 9.9476 Å
α = 90.00°, β = 90.00°, γ = 90.00°
Space group P4/mmm (No. 123)
One atom of each set of equivalent atoms:
Pm 0.0000 0.0000 0.0000 (multiplicity 1)
Pm 0.5000 0.5000 0.5000 (multiplicity 1)
Dy 0.0000 0.5000 0.2460 (multiplicity 4)
Er 0.0000 0.0000 0.5000 (multiplicity 1)
Sc 0.5000 0.5000 0.0000 (multiplicity 1)

***

Entry 9:
An optimized crystal structure of Mg5Ag4Rh. Source: Alexandria, functional PBE.

Calculated values
total energy	-2.97	eV per atom
formation energy	-0.298	eV/atom
total magnetization	0.000	μB per atom
crystal system	tetragonal
N(E_F)	4.20	states/eV/cell

a = 3.2736 Å, b = 3.2736 Å, c = 16.5884 Å
α = 90.00°, β = 90.00°, γ = 90.00°
Space group P4/mmm (No. 123)
One atom of each set of equivalent atoms:
Mg 0.0000 0.0000 0.0000 (multiplicity 1)
Mg 0.0000 0.0000 0.2051 (multiplicity 2)
Mg 0.0000 0.0000 0.4131 (multiplicity 2)
Ag 0.5000 0.5000 0.1031 (multiplicity 2)
Ag 0.5000 0.5000 0.3082 (multiplicity 2)
Rh 0.5000 0.5000 0.5000 (multiplicity 1)

***

Entry 10:
An optimized crystal structure of Cu2PtCl. Source: Alexandria, functional PBE.

Calculated values
total energy	-3.69	eV per atom
total magnetization	0.000	μB per atom
formation energy (no corrections)	32	kJ/mol of atoms
crystal system	tetragonal
N(E_F)	8.61	states/eV/cell

a = 6.8696 Å, b = 6.8696 Å, c = 5.2523 Å
α = 90.00°, β = 90.00°, γ = 90.00°
Space group I-42d (No. 122)
One atom of each set of equivalent atoms:
Cu 0.2351 0.2500 0.1250 (multiplicity 8)
Pt 0.0000 0.0000 0.5000 (multiplicity 4)
Cl 0.0000 0.0000 0.0000 (multiplicity 4)

***

Entry 11:
An optimized crystal structure of HoTh3Fe. Source: Alexandria, functional PBE.

Calculated values
total energy	-6.99	eV per atom
formation energy	0.071	eV/atom
total magnetization	0.000	μB per atom
crystal system	cubic
N(E_F)	10.18	states/eV/cell

a = 5.3145 Å, b = 5.3145 Å, c = 5.3145 Å
α = 90.00°, β = 90.00°, γ = 90.00°
Space group Pm-3m (No. 221)
One atom of each set of equivalent atoms:
Ho 0.0000 0.0000 0.0000 (multiplicity 1)
Th 0.0000 0.5000 0.5000 (multiplicity 3)
Fe 0.5000 0.5000 0.5000 (multiplicity 1)

***

Entry 12:
An optimized crystal structure of PtS2. Source: Alexandria, functional PBE.

Calculated values
total energy	-4.58	eV per atom
total magnetization	0.000	μB per atom
formation energy (no corrections)	18	kJ/mol of atoms
crystal system	orthorhombic
N(E_F)	5.68	states/eV/cell

a = 3.4178 Å, b = 10.3010 Å, c = 6.3601 Å
α = 90.00°, β = 90.00°, γ = 90.00°
Space group Fmm2 (No. 42)
One atom of each set of equivalent atoms:
Pt 0.0000 0.0000 0.0000 (multiplicity 4)
S 0.0000 0.1334 0.3055 (multiplicity 8)